(1)
# Zn3IO3, optimized geometry, DFT GGA-PBE
# Symmetry   Pm-3n
data_Zn3IO3
_chemical_formula_sum 'Zn6 I2 O6'
_space_group_name_H-M_alt 'P 1'
_space_group_IT_number 1
_space_group_name_Hall 'P 1'
_cell_length_a 5.840
_cell_length_b 5.840
_cell_length_c 5.840
_cell_angle_alpha 90.00
_cell_angle_beta 90.00
_cell_angle_gamma 90.00
loop_
_atom_site_label
_atom_site_type_symbol
_atom_site_fract_x
_atom_site_fract_y
_atom_site_fract_z
Zn1 Zn 0.000 0.250 0.500
Zn2 Zn 0.000 0.750 0.500
Zn3 Zn 0.250 0.500 0.000
Zn4 Zn 0.500 0.000 0.250
Zn5 Zn 0.500 0.000 0.750
Zn6 Zn 0.750 0.500 0.000
I1 I 0.000 0.000 0.000
I2 I 0.500 0.500 0.500
O1 O 0.000 0.500 0.250
O2 O 0.000 0.500 0.750
O3 O 0.250 0.000 0.500
O4 O 0.500 0.250 0.000
O5 O 0.500 0.750 0.000
O6 O 0.750 0.000 0.500



(2)
# ZnI2O2, optimized geometry, DFT GGA-PBE
# Energy relative to the lowest polymorph listed for this composition   22.6 kJ per mole of atoms
# Symmetry   P4/mmm
data_ZnI2O2
_chemical_formula_sum 'Zn1 I2 O2'
_space_group_name_H-M_alt 'P 1'
_space_group_IT_number 1
_space_group_name_Hall 'P 1'
_cell_length_a 4.196
_cell_length_b 4.196
_cell_length_c 6.524
_cell_angle_alpha 90.00
_cell_angle_beta 90.00
_cell_angle_gamma 90.00
loop_
_atom_site_label
_atom_site_type_symbol
_atom_site_fract_x
_atom_site_fract_y
_atom_site_fract_z
Zn1 Zn 0.000 0.000 0.000
I1 I 0.000 0.000 0.500
I2 I 0.500 0.500 0.500
O1 O 0.000 0.500 0.000
O2 O 0.500 0.000 0.000



(3)
# Zn2IO, optimized geometry, DFT GGA-PBE
# Energy relative to the lowest polymorph listed for this composition   85.0 kJ per mole of atoms
# Symmetry   Fm-3m
data_Zn2IO
_chemical_formula_sum 'Zn2 I1 O1'
_space_group_name_H-M_alt 'P 1'
_space_group_IT_number 1
_space_group_name_Hall 'P 1'
_cell_length_a 4.632
_cell_length_b 4.632
_cell_length_c 4.632
_cell_angle_alpha 60.00
_cell_angle_beta 60.00
_cell_angle_gamma 60.00
loop_
_atom_site_label
_atom_site_type_symbol
_atom_site_fract_x
_atom_site_fract_y
_atom_site_fract_z
Zn1 Zn 0.250 0.250 0.250
Zn2 Zn 0.750 0.750 0.750
I1 I 0.000 0.000 0.000
O1 O 0.500 0.500 0.500



(4)
# Zn6IO6, optimized geometry, DFT GGA-PBE
# Symmetry   Pm-3
data_Zn6IO6
_chemical_formula_sum 'Zn6 I1 O6'
_space_group_name_H-M_alt 'P 1'
_space_group_IT_number 1
_space_group_name_Hall 'P 1'
_cell_length_a 5.763
_cell_length_b 5.763
_cell_length_c 5.763
_cell_angle_alpha 90.00
_cell_angle_beta 90.00
_cell_angle_gamma 90.00
loop_
_atom_site_label
_atom_site_type_symbol
_atom_site_fract_x
_atom_site_fract_y
_atom_site_fract_z
Zn1 Zn 0.000 0.248 0.500
Zn2 Zn 0.000 0.752 0.500
Zn3 Zn 0.248 0.500 0.000
Zn4 Zn 0.500 0.000 0.248
Zn5 Zn 0.500 0.000 0.752
Zn6 Zn 0.752 0.500 0.000
I1 I 0.000 0.000 0.000
O1 O 0.000 0.500 0.255
O2 O 0.000 0.500 0.745
O3 O 0.255 0.000 0.500
O4 O 0.500 0.255 0.000
O5 O 0.500 0.745 0.000
O6 O 0.745 0.000 0.500



(5)
# ZnIO4, optimized geometry, DFT GGA-PBE
# Symmetry   Cmmm
data_ZnIO4
_chemical_formula_sum 'Zn1 I1 O4'
_space_group_name_H-M_alt 'P 1'
_space_group_IT_number 1
_space_group_name_Hall 'P 1'
_cell_length_a 4.789
_cell_length_b 4.789
_cell_length_c 3.260
_cell_angle_alpha 90.00
_cell_angle_beta 90.00
_cell_angle_gamma 94.66
loop_
_atom_site_label
_atom_site_type_symbol
_atom_site_fract_x
_atom_site_fract_y
_atom_site_fract_z
Zn1 Zn 0.000 0.000 0.000
I1 I 0.500 0.500 0.500
O1 O 0.200 0.200 0.500
O2 O 0.317 0.683 0.000
O3 O 0.683 0.317 0.000
O4 O 0.800 0.800 0.500



(6)
# Zn2IO, optimized geometry, DFT GGA-PBE
# Energy relative to the lowest polymorph listed for this composition   0.0 kJ per mole of atoms
# Symmetry   I-42d
data_Zn2IO
_chemical_formula_sum 'Zn4 I2 O2'
_space_group_name_H-M_alt 'P 1'
_space_group_IT_number 1
_space_group_name_Hall 'P 1'
_cell_length_a 6.735
_cell_length_b 6.735
_cell_length_c 6.735
_cell_angle_alpha 130.30
_cell_angle_beta 130.30
_cell_angle_gamma 72.94
loop_
_atom_site_label
_atom_site_type_symbol
_atom_site_fract_x
_atom_site_fract_y
_atom_site_fract_z
Zn1 Zn 0.375 0.234 0.359
Zn2 Zn 0.766 0.125 0.141
Zn3 Zn 0.875 0.016 0.641
Zn4 Zn 0.984 0.625 0.859
I1 I 0.250 0.750 0.500
I2 I 0.500 0.500 0.000
O1 O 0.000 0.000 0.000
O2 O 0.750 0.250 0.500



(7)
# Zn2I2O7, optimized geometry, DFT GGA-PBE
# Symmetry   C2/m
data_Zn2I2O7
_chemical_formula_sum 'Zn2 I2 O7'
_space_group_name_H-M_alt 'P 1'
_space_group_IT_number 1
_space_group_name_Hall 'P 1'
_cell_length_a 5.632
_cell_length_b 5.632
_cell_length_c 5.552
_cell_angle_alpha 94.40
_cell_angle_beta 94.40
_cell_angle_gamma 89.59
loop_
_atom_site_label
_atom_site_type_symbol
_atom_site_fract_x
_atom_site_fract_y
_atom_site_fract_z
Zn1 Zn 0.188 0.812 0.000
Zn2 Zn 0.812 0.188 0.000
I1 I 0.269 0.269 0.615
I2 I 0.731 0.731 0.385
O1 O 0.058 0.058 0.778
O2 O 0.131 0.517 0.792
O3 O 0.483 0.869 0.208
O4 O 0.500 0.500 0.500
O5 O 0.517 0.131 0.792
O6 O 0.869 0.483 0.208
O7 O 0.942 0.942 0.222



(8)
# ZnI2O2, optimized geometry, DFT GGA-PBE
# Energy relative to the lowest polymorph listed for this composition   39.3 kJ per mole of atoms
# Symmetry   P4/mmm
data_ZnI2O2
_chemical_formula_sum 'Zn1 I2 O2'
_space_group_name_H-M_alt 'P 1'
_space_group_IT_number 1
_space_group_name_Hall 'P 1'
_cell_length_a 6.060
_cell_length_b 6.060
_cell_length_c 3.489
_cell_angle_alpha 90.00
_cell_angle_beta 90.00
_cell_angle_gamma 90.00
loop_
_atom_site_label
_atom_site_type_symbol
_atom_site_fract_x
_atom_site_fract_y
_atom_site_fract_z
Zn1 Zn 0.000 0.000 0.000
I1 I 0.000 0.500 0.000
I2 I 0.500 0.000 0.000
O1 O 0.000 0.000 0.500
O2 O 0.500 0.500 0.500



Number 1: formation energy (no corrections) -0.93 eV/atom, final energy -53.5 eV/cell, DOS(E_F) 6.9 states/eV/f.u.. Number 2: formation energy (no corrections) 0.25 eV/atom, final energy -13.0 eV/cell, DOS(E_F) 4.3 states/eV/f.u.. Number 3: formation energy (no corrections) 0.32 eV/atom, final energy -7.8 eV/cell, DOS(E_F) 1.3 states/eV/f.u.. Number 4: formation energy (no corrections) -1.13 eV/atom, final energy -53.6 eV/cell, DOS(E_F) 8.4 states/eV/f.u.. Number 5: formation energy (no corrections) -0.50 eV/atom, final energy -25.7 eV/cell, DOS(E_F) 1.7 states/eV/f.u.. Number 6: formation energy (no corrections) -0.56 eV/atom, final energy -22.6 eV/cell, DOS(E_F) 1.3 states/eV/f.u.. Number 7: formation energy (no corrections) -0.65 eV/atom, final energy -47.5 eV/cell, DOS(E_F) 0.0 states/eV/f.u.. Number 8: formation energy (no corrections) 0.43 eV/atom, final energy -12.2 eV/cell, DOS(E_F) 9.0 states/eV/f.u..